TiPAuF2 | PBE-GGA | relaxed

Cell: 3.889 3.889 5.412 Å, 90.00 90.00 90.00°
Fractional positions:
Ti 0.000 0.000 0.000
P 0.000 0.000 0.500
Au 0.500 0.500 0.000
F 0.000 0.500 0.500
F 0.500 0.000 0.500

Fermi-level density of states = 4.19 states/eV/cell
Energy relative to the elements, uncorrected = -0.688 eV per atom
Energy relative to the lowest polymorph listed for this composition = 0.00 kcal/mol of atoms
Final energy = -23.8 eV per cell